Entry 1:
Compound: Sm6Ga2AsSe3
Source: Alexandria
Functional: GGA-PBE
Structure: relaxed

abc: 18.6047 4.1284 8.6091
angles: 90.00 106.09 90.00
Space group C2/m (No. 12)
Unique sites:
Sm 0.0034 0.0000 0.2448
Sm 0.1636 0.5000 0.5930
Sm 0.1652 0.5000 0.0886
Ga 0.1709 0.0000 0.3458
As 0.0000 0.5000 0.0000
Se 0.0000 0.5000 0.5000
Se 0.1639 0.0000 0.8402

magnetic moment	0.00	μB per atom
final energy	-5.485	eV/atom
V	26.47	Å³ per atom
formation energy without anion corrections	-16.344	eV/f.u.



Entry 2:
Compound: Sc3SnP
Source: Alexandria
Functional: GGA-PBE
Structure: relaxed

abc: 4.8686 4.8686 4.8686
angles: 90.00 90.00 90.00
Space group Pm-3m (No. 221)
Unique sites:
Sc 0.0000 0.0000 0.5000
Sn 0.5000 0.5000 0.5000
P 0.0000 0.0000 0.0000

formation energy	-0.806	eV/atom
magnetic moment	0.00	μB per atom
final energy	-6.488	eV/atom
V	23.08	Å³ per atom
E above lowest polymorph	0	meV per atom



Entry 3:
Compound: GaHgI6
Source: Alexandria
Functional: GGA-PBE
Structure: relaxed

abc: 7.3772 13.4084 7.7224
angles: 90.00 114.39 90.00
Space group C2/m (No. 12)
Unique sites:
Ga 0.0000 0.0000 0.0000
Hg 0.0000 0.5000 0.5000
I 0.2155 0.1488 0.2569
I 0.2197 0.5000 0.1728

magnetic moment	0.13	μB per atom
final energy	-1.742	eV/atom
V	43.48	Å³ per atom
formation energy without anion corrections	-1.309	eV/f.u.



Number 1: density 7.1 g cm⁻³. Number 2: density 4.1 g cm⁻³. Number 3: density 4.9 g cm⁻³.